# UCdSn2

A relaxed UCdSn2 crystal (PBE-GGA, the Alexandria database).

Cell lengths 4.455, 4.455, 7.154 Å; angles 71.86, 71.86, 60.00 degrees
Positions (direct):
Sn1 0.244 0.244 0.269
Sn2 0.091 0.091 0.728
U1 0.670 0.670 0.990
Cd1 0.496 0.496 0.513

Results
Its energy above the lowest structure with this stoichiometry is 347 meV per atom. The value obtained for the formation energy is 261.6 meV/atom.


# RbNp2SeS5

A relaxed RbNp2SeS5 crystal (PBE-GGA, the Alexandria database).

Cell lengths 7.433, 7.433, 9.668 Å; angles 112.61, 112.61, 90.00 degrees
Positions (direct):
S1 0.461 0.245 0.206
S2 0.255 0.039 0.794
S3 0.000 0.000 0.000
S4 0.755 0.255 0.794
S5 0.039 0.539 0.794
S6 0.539 0.755 0.794
S7 0.245 0.745 0.206
S8 0.961 0.461 0.206
S9 0.745 0.961 0.206
S10 0.500 0.500 0.000
Rb1 0.250 0.250 0.500
Rb2 0.750 0.750 0.500
Se1 0.750 0.250 0.500
Se2 0.250 0.750 0.500
Np1 0.662 0.162 0.000
Np2 0.162 0.338 0.000
Np3 0.338 0.838 0.000
Np4 0.838 0.662 0.000

Results
The calculation puts the raw formation energy at -0.94 eV/atom.


# Y7Rh

A relaxed Y7Rh crystal (PBE-GGA, the Alexandria database).

Cell lengths 6.864, 6.864, 6.864 Å; angles 60.00, 60.00, 60.00 degrees
Positions (direct):
Y1 0.500 0.500 0.500
Y2 0.500 0.000 0.000
Y3 0.500 0.500 0.000
Y4 0.500 0.000 0.500
Y5 0.000 0.000 0.500
Y6 0.000 0.500 0.000
Y7 0.000 0.500 0.500
Rh1 0.000 0.000 0.000

Results
The value obtained for the formation energy is 46.5 meV/atom.


Ordered total magnetic moment results: 2.929, 5.645, 0.000; unit μB per formula unit.
Ordered electronic total energy results: -4.791, -6.603, -6.528; unit eV per atom.